No. 1
Entry from Alexandria via LeMat-Bulk: a relaxed structure of Cs2ZrTiBr6 (PBE-GGA).

The density of states at the Fermi level comes out at 7.90 states/eV per cell. The calculation puts the uncorrected formation energy at -1224.4 kJ/mol of formula units. The space group is No. 139.

abc: 7.777 7.777 7.777
angles: 119.98 119.98 90.04
Element x y z (fractional)
Cs 0.250 0.750 0.500
Cs 0.750 0.250 0.500
Zr 0.000 0.000 0.000
Ti 0.500 0.500 0.000
Br 0.252 0.252 0.000
Br 0.252 0.252 0.504
Br 0.252 0.748 0.000
Br 0.748 0.252 0.000
Br 0.748 0.748 0.000
Br 0.748 0.748 0.496

***

No. 2
Entry from Alexandria via LeMat-Bulk: a relaxed structure of CsTl2Br8 (PBE-GGA).

The density of states at the Fermi level comes out at 4.96 states/eV per cell. The calculation puts the uncorrected formation energy at -662.5 kJ/mol of formula units. The space group is No. 12.

abc: 8.453 8.453 9.860
angles: 109.88 109.88 47.38
Element x y z (fractional)
Cs 0.000 0.000 0.000
Tl 0.214 0.214 0.673
Tl 0.786 0.786 0.327
Br 0.154 0.614 0.247
Br 0.187 0.187 0.398
Br 0.386 0.846 0.753
Br 0.389 0.389 0.847
Br 0.611 0.611 0.153
Br 0.614 0.154 0.247
Br 0.813 0.813 0.602
Br 0.846 0.386 0.753

***

No. 3
Entry from Alexandria via LeMat-Bulk: a relaxed structure of Cs2TlBr2 (PBE-GGA).

The density of states at the Fermi level comes out at 5.65 states/eV per cell. The value obtained for the energy relative to the lowest polymorph listed for this composition is 0.106 eV per atom. The calculation puts the uncorrected formation energy at -519.5 kJ/mol of formula units. The space group is No. 127.

abc: 10.405 10.405 4.133
angles: 90.00 90.00 90.00
Element x y z (fractional)
Cs 0.145 0.355 0.000
Cs 0.355 0.855 0.000
Cs 0.645 0.145 0.000
Cs 0.855 0.645 0.000
Tl 0.000 0.000 0.000
Tl 0.500 0.500 0.000
Br 0.151 0.651 0.500
Br 0.349 0.151 0.500
Br 0.651 0.849 0.500
Br 0.849 0.349 0.500

***

No. 4
Entry from Alexandria via LeMat-Bulk: a relaxed structure of Cs2Tl2Br (PBE-GGA).

The density of states at the Fermi level comes out at 1.04 states/eV per cell. The value obtained for the energy relative to the lowest polymorph listed for this composition is 0.000 eV per atom. The calculation puts the uncorrected formation energy at -339.0 kJ/mol of formula units. The space group is No. 139.

abc: 11.718 11.718 11.718
angles: 157.85 157.85 31.53
Element x y z (fractional)
Cs 0.093 0.093 0.000
Cs 0.907 0.907 0.000
Tl 0.250 0.750 0.500
Tl 0.750 0.250 0.500
Br 0.500 0.500 0.000

***

No. 5
Entry from Alexandria via LeMat-Bulk: a relaxed structure of CsTlBr4 (PBE-GGA).

The density of states at the Fermi level comes out at 0.00 states/eV per cell. The calculation puts the uncorrected formation energy at -563.5 kJ/mol of formula units. The space group is No. 14.

abc: 9.805 11.026 12.669
angles: 90.00 125.16 90.00
Element x y z (fractional)
Cs 0.179 0.166 0.273
Cs 0.179 0.334 0.773
Cs 0.821 0.666 0.227
Cs 0.821 0.834 0.727
Tl 0.299 0.675 0.199
Tl 0.299 0.825 0.699
Tl 0.701 0.175 0.301
Tl 0.701 0.325 0.801
Br 0.066 0.656 0.604
Br 0.066 0.844 0.104
Br 0.210 0.512 0.298
Br 0.210 0.988 0.798
Br 0.325 0.609 0.012
Br 0.325 0.891 0.512
Br 0.404 0.237 0.628
Br 0.404 0.263 0.128
Br 0.596 0.737 0.872
Br 0.596 0.763 0.372
Br 0.675 0.109 0.488
Br 0.675 0.391 0.988
Br 0.790 0.012 0.202
Br 0.790 0.488 0.702
Br 0.934 0.156 0.896
Br 0.934 0.344 0.396

***

No. 6
Entry from Alexandria via LeMat-Bulk: a relaxed structure of Cs3Tl4Br8 (PBE-GGA).

The density of states at the Fermi level comes out at 6.67 states/eV per cell. The calculation puts the uncorrected formation energy at -1665.3 kJ/mol of formula units. The space group is No. 12.

abc: 9.929 9.929 9.780
angles: 119.46 119.46 90.04
Element x y z (fractional)
Cs 0.000 0.000 0.000
Cs 0.000 0.500 0.500
Cs 0.500 0.000 0.500
Tl 0.000 0.500 0.000
Tl 0.500 0.000 0.000
Tl 0.500 0.500 0.000
Tl 0.500 0.500 0.500
Br 0.258 0.742 0.000
Br 0.281 0.719 0.500
Br 0.284 0.284 0.056
Br 0.291 0.291 0.516
Br 0.709 0.709 0.484
Br 0.716 0.716 0.944
Br 0.719 0.281 0.500
Br 0.742 0.258 0.000

***

Which formula does entry 2 have? CsTl2Br8